Entry from Alexandria: a relaxed structure of LaDy4Tm4 (PBE-GGA).

Cell lengths 4.994, 7.930, 7.930 Å; angles 84.31, 71.64, 71.64 degrees
Fractional coordinates of all 9 atoms:
La 0.000 0.000 0.000
Dy 0.666 0.334 0.334
Dy 0.334 0.666 0.666
Dy 0.000 0.666 0.334
Dy 0.000 0.334 0.666
Tm 0.669 0.663 0.000
Tm 0.331 0.337 0.000
Tm 0.669 0.000 0.663
Tm 0.331 0.000 0.337

- formation energy (eV per atom) = 0.03
- calculated volume (Å³/f.u.) = 282.91